1.
Entry from OQMD: a geometry-optimized Cu5Ag3 structure (PBE).

Values from the calculation:
* energy of formation from the pure elements: 0.069 eV/atom

The structure in CIF format:
```
data_Cu5Ag3
_chemical_formula_sum 'Cu5 Ag3'
_cell_length_a 2.755
_cell_length_b 2.755
_cell_length_c 14.866
_cell_angle_alpha 90.00
_cell_angle_beta 90.00
_cell_angle_gamma 90.00
_symmetry_space_group_name_H-M 'P 4 m m'
_symmetry_Int_Tables_number 99
_symmetry_space_group_name_Hall 'P 4 -2'
loop_
_atom_site_label
_atom_site_fract_x
_atom_site_fract_y
_atom_site_fract_z
_atom_site_occupancy
Cu1 0.000 0.000 0.000 1
Cu2 0.000 0.000 0.218 1
Cu3 0.000 0.000 0.735 1
Cu4 0.500 0.500 0.109 1
Cu5 0.500 0.500 0.628 1
Ag1 0.000 0.000 0.499 1
Ag2 0.500 0.500 0.348 1
Ag3 0.500 0.500 0.867 1
```

***

2.
Entry from OQMD: a geometry-optimized Cu3Ag2 structure (PBE).

Values from the calculation:
* energy of formation from the pure elements: 0.091 eV/atom

The structure in CIF format:
```
data_Cu3Ag2
_chemical_formula_sum 'Cu6 Ag4'
_cell_length_a 2.755
_cell_length_b 3.721
_cell_length_c 13.933
_cell_angle_alpha 90.00
_cell_angle_beta 90.00
_cell_angle_gamma 90.00
_symmetry_space_group_name_H-M 'P m m 2'
_symmetry_Int_Tables_number 25
_symmetry_space_group_name_Hall 'P 2 -2'
loop_
_atom_site_label
_atom_site_fract_x
_atom_site_fract_y
_atom_site_fract_z
_atom_site_occupancy
Cu1 0.000 0.000 0.000 1
Cu2 0.000 0.000 0.177 1
Cu3 0.000 0.000 0.794 1
Cu4 0.500 0.500 0.088 1
Cu5 0.500 0.500 0.502 1
Cu6 0.500 0.500 0.705 1
Ag1 0.000 0.000 0.398 1
Ag2 0.000 0.000 0.603 1
Ag3 0.500 0.500 0.279 1
Ag4 0.500 0.500 0.897 1
```

***

3.
Entry from OQMD: a geometry-optimized CuAg structure (PBE).

Values from the calculation:
* energy of formation from the pure elements: 0.087 eV/atom

The structure in CIF format:
```
data_CuAg
_chemical_formula_sum 'Cu6 Ag6'
_cell_length_a 2.794
_cell_length_b 2.795
_cell_length_c 26.556
_cell_angle_alpha 90.27
_cell_angle_beta 90.03
_cell_angle_gamma 119.82
_symmetry_space_group_name_H-M 'P 1'
_symmetry_Int_Tables_number 1
_symmetry_space_group_name_Hall 'P 1'
loop_
_atom_site_label
_atom_site_fract_x
_atom_site_fract_y
_atom_site_fract_z
_atom_site_occupancy
Cu1 0.000 0.000 0.000 1
Cu2 0.003 0.921 0.780 1
Cu3 0.332 0.633 0.927 1
Cu4 0.343 0.588 0.707 1
Cu5 0.673 0.275 0.853 1
Cu6 0.676 0.260 0.635 1
Ag1 0.037 0.971 0.551 1
Ag2 0.095 0.093 0.270 1
Ag3 0.390 0.755 0.177 1
Ag4 0.409 0.702 0.457 1
Ag5 0.671 0.380 0.084 1
Ag6 0.763 0.402 0.364 1
```

***

4.
Entry from OQMD: a geometry-optimized CuAg structure (PBE).

Values from the calculation:
* energy of formation from the pure elements: 0.092 eV/atom

The structure in CIF format:
```
data_CuAg
_chemical_formula_sum 'Cu10 Ag10'
_cell_length_a 18.460
_cell_length_b 2.837
_cell_length_c 5.777
_cell_angle_alpha 90.00
_cell_angle_beta 98.94
_cell_angle_gamma 90.00
_symmetry_space_group_name_H-M 'C 1 m 1'
_symmetry_Int_Tables_number 8
_symmetry_space_group_name_Hall 'C -2y'
loop_
_atom_site_label
_atom_site_fract_x
_atom_site_fract_y
_atom_site_fract_z
_atom_site_occupancy
Cu1 0.000 0.000 0.000 1
Cu2 0.006 0.000 0.501 1
Cu3 0.090 0.500 0.805 1
Cu4 0.194 0.000 0.083 1
Cu5 0.415 0.000 0.212 1
Ag1 0.096 0.500 0.283 1
Ag2 0.194 0.000 0.618 1
Ag3 0.299 0.500 0.390 1
Ag4 0.306 0.500 0.918 1
Ag5 0.410 0.000 0.695 1
```

***

5.
Entry from OQMD: a geometry-optimized Cu3Ag2 structure (PBE).

Values from the calculation:
* energy of formation from the pure elements: 0.085 eV/atom

The structure in CIF format:
```
data_Cu3Ag2
_chemical_formula_sum 'Cu6 Ag4'
_cell_length_a 2.792
_cell_length_b 3.580
_cell_length_c 14.316
_cell_angle_alpha 90.00
_cell_angle_beta 90.00
_cell_angle_gamma 90.00
_symmetry_space_group_name_H-M 'P m m 2'
_symmetry_Int_Tables_number 25
_symmetry_space_group_name_Hall 'P 2 -2'
loop_
_atom_site_label
_atom_site_fract_x
_atom_site_fract_y
_atom_site_fract_z
_atom_site_occupancy
Cu1 0.000 0.000 0.000 1
Cu2 0.000 0.000 0.174 1
Cu3 0.500 0.500 0.088 1
Cu4 0.500 0.500 0.503 1
Cu5 0.500 0.500 0.706 1
Cu6 0.500 0.500 0.913 1
Ag1 0.000 0.000 0.400 1
Ag2 0.000 0.000 0.605 1
Ag3 0.000 0.000 0.810 1
Ag4 0.500 0.500 0.278 1
```

***

6.
Entry from OQMD: a geometry-optimized CuAg structure (PBE).

Values from the calculation:
* energy of formation from the pure elements: 0.096 eV/atom

The structure in CIF format:
```
data_CuAg
_chemical_formula_sum 'Cu10 Ag10'
_cell_length_a 3.889
_cell_length_b 3.964
_cell_length_c 19.384
_cell_angle_alpha 90.00
_cell_angle_beta 90.00
_cell_angle_gamma 90.00
_symmetry_space_group_name_H-M 'A m m 2'
_symmetry_Int_Tables_number 38
_symmetry_space_group_name_Hall 'A 2 -2'
loop_
_atom_site_label
_atom_site_fract_x
_atom_site_fract_y
_atom_site_fract_z
_atom_site_occupancy
Cu1 0.000 0.000 0.000 1
Cu2 0.000 0.000 0.193 1
Cu3 0.000 0.000 0.401 1
Cu4 0.000 0.000 0.603 1
Cu5 0.500 0.000 0.692 1
Ag1 0.000 0.000 0.791 1
Ag2 0.500 0.000 0.101 1
Ag3 0.500 0.000 0.292 1
Ag4 0.500 0.000 0.501 1
Ag5 0.500 0.000 0.900 1
```

***

7.
Entry from OQMD: a geometry-optimized Cu3Ag2 structure (PBE).

Values from the calculation:
* energy of formation from the pure elements: 0.097 eV/atom

The structure in CIF format:
```
data_Cu3Ag2
_chemical_formula_sum 'Cu12 Ag8'
_cell_length_a 18.800
_cell_length_b 2.773
_cell_length_c 5.532
_cell_angle_alpha 90.00
_cell_angle_beta 97.87
_cell_angle_gamma 90.00
_symmetry_space_group_name_H-M 'C 1 2/m 1'
_symmetry_Int_Tables_number 12
_symmetry_space_group_name_Hall '-C 2y'
loop_
_atom_site_label
_atom_site_fract_x
_atom_site_fract_y
_atom_site_fract_z
_atom_site_occupancy
Cu1 0.002 0.000 0.281 1
Cu2 0.097 0.500 0.554 1
Cu3 0.199 0.000 0.850 1
Ag1 0.091 0.500 0.032 1
Ag2 0.197 0.000 0.346 1
```

***

8.
Entry from OQMD: a geometry-optimized Cu17Ag23 structure (PBE).

Values from the calculation:
* energy of formation from the pure elements: 0.093 eV/atom

The structure in CIF format:
```
data_Cu17Ag23
_chemical_formula_sum 'Cu17 Ag23'
_cell_length_a 4.847
_cell_length_b 7.347
_cell_length_c 17.433
_cell_angle_alpha 96.52
_cell_angle_beta 95.12
_cell_angle_gamma 90.65
_symmetry_space_group_name_H-M 'P 1'
_symmetry_Int_Tables_number 1
_symmetry_space_group_name_Hall 'P 1'
loop_
_atom_site_label
_atom_site_fract_x
_atom_site_fract_y
_atom_site_fract_z
_atom_site_occupancy
Cu1 0.000 0.000 0.000 1
Cu2 0.010 0.064 0.430 1
Cu3 0.031 0.945 0.573 1
Cu4 0.139 0.753 0.872 1
Cu5 0.176 0.657 0.018 1
Cu6 0.197 0.599 0.597 1
Cu7 0.332 0.354 0.478 1
Cu8 0.464 0.102 0.354 1
Cu9 0.534 0.877 0.643 1
Cu10 0.590 0.858 0.230 1
Cu11 0.598 0.795 0.793 1
Cu12 0.683 0.646 0.532 1
Cu13 0.718 0.553 0.665 1
Cu14 0.832 0.341 0.976 1
Cu15 0.862 0.316 0.549 1
Cu16 0.872 0.245 0.123 1
Cu17 0.918 0.146 0.281 1
Ag1 0.040 0.908 0.150 1
Ag2 0.054 0.841 0.717 1
Ag3 0.118 0.819 0.303 1
Ag4 0.163 0.704 0.458 1
Ag5 0.238 0.559 0.174 1
Ag6 0.259 0.506 0.744 1
Ag7 0.277 0.442 0.330 1
Ag8 0.302 0.408 0.901 1
Ag9 0.334 0.298 0.050 1
Ag10 0.369 0.254 0.617 1
Ag11 0.406 0.192 0.206 1
Ag12 0.423 0.136 0.768 1
Ag13 0.475 0.046 0.924 1
Ag14 0.520 0.944 0.074 1
Ag15 0.534 0.009 0.501 1
Ag16 0.645 0.758 0.378 1
Ag17 0.676 0.702 0.944 1
Ag18 0.713 0.590 0.094 1
Ag19 0.763 0.497 0.250 1
Ag20 0.784 0.455 0.819 1
Ag21 0.801 0.390 0.407 1
Ag22 0.888 0.195 0.689 1
Ag23 0.947 0.090 0.850 1
```

***

- The lowest energy of formation from the pure elements belongs to which entry?
  Cu5Ag3

***

- Among the records above, which one has the highest energy of formation from the pure elements?
  number 7

***

- Number 3 is which compound?
  CuAg

***

- Which value of energy of formation from the pure elements does entry 2 give?
  0.091 eV/atom